{"formula": "Ca8In2Hg", "functional": "PBE", "state": "optimized geometry", "cell": [[5.441, 0.000, 0.000], [0.000, 7.558, -0.013], [-2.721, -3.260, 8.927]], "species": ["Hg", "Ca", "Ca", "Ca", "Ca", "Ca", "Ca", "Ca", "Ca", "In", "In"], "fractional_positions": [[0.500, 0.000, 0.000], [0.402, 0.555, 0.804], [0.337, 0.047, 0.673], [0.024, 0.784, 0.049], [0.201, 0.295, 0.403], [0.598, 0.445, 0.196], [0.799, 0.705, 0.597], [0.663, 0.953, 0.327], [0.976, 0.216, 0.951], [0.180, 0.697, 0.359], [0.820, 0.303, 0.641]], "formation_enthalpy_0k_ev_per_atom": -0.33, "polymorph_energy_ev_per_atom": 0.000}

{"formula": "VHgGe", "functional": "PBE", "state": "optimized geometry", "cell": [[-1.544, -2.875, 2.943], [8.569, 0.983, 5.455], [-2.154, 3.900, 2.681]], "species": ["Hg", "Hg", "Hg", "Hg", "Ge", "Ge", "Ge", "Ge", "V", "V", "V", "V"], "fractional_positions": [[0.750, 0.750, 0.500], [0.250, 0.250, 0.500], [0.750, 0.250, 0.000], [0.250, 0.750, 0.000], [0.000, 0.000, 0.000], [0.500, 0.500, 0.500], [0.500, 0.500, 0.000], [0.000, 0.000, 0.500], [0.500, 0.000, 0.250], [0.000, 0.500, 0.750], [0.000, 0.500, 0.250], [0.500, 0.000, 0.750]], "formation_enthalpy_0k_ev_per_atom": 0.15, "polymorph_energy_ev_per_atom": 0.149}

no.,total magnetic moment (μB/cell),total DFT energy (no corrections) (eV/atom)
1,0.00,-2.308
2,0.00,-4.534